(1)
This record from Alexandria describes crystalline La2Y2Zn at its relaxed geometry. The functional is GGA-PBE.

a = 7.805 Å, b = 7.805 Å, c = 5.387 Å
α = 90.00°, β = 90.00°, γ = 90.00°
Positions (direct):
La: 0.135 0.365 0.000
La: 0.365 0.865 0.000
La: 0.635 0.135 0.000
La: 0.865 0.635 0.000
Y: 0.163 0.663 0.500
Y: 0.337 0.163 0.500
Y: 0.663 0.837 0.500
Y: 0.837 0.337 0.500
Zn: 0.000 0.000 0.000
Zn: 0.500 0.500 0.000

Output
DOS at the Fermi energy ... 1.2241 states/eV per atom
Polymorph energy (0 for the lowest one) ... 0.293 eV/atom
Crystal system ... tetragonal
Total DFT energy (no corrections) ... -46.49 eV/cell
ΔE_f ... 0.162 eV/atom

(2)
This record from Alexandria describes crystalline KLi2Mn at its relaxed geometry. The functional is GGA-PBE.

a = 5.123 Å, b = 5.123 Å, c = 7.388 Å
α = 93.98°, β = 93.98°, γ = 34.74°
Positions (direct):
K: 0.000 0.000 0.000
Li: 0.238 0.238 0.650
Li: 0.493 0.493 0.474
Mn: 0.760 0.760 0.335

Output
DOS at the Fermi energy ... 0.8474 states/eV per atom
Polymorph energy (0 for the lowest one) ... 0.064 eV/atom
Crystal system ... monoclinic
Total DFT energy (no corrections) ... -12.00 eV/cell
ΔE_f ... 0.524 eV/atom

(3)
This record from Alexandria describes crystalline Cs3InAg2I6 at its relaxed geometry. The functional is GGA-PBE.

a = 9.252 Å, b = 9.252 Å, c = 9.973 Å
α = 90.00°, β = 90.00°, γ = 120.00°
Positions (direct):
Cs: 0.000 0.000 0.000
Cs: 0.333 0.667 0.623
Cs: 0.667 0.333 0.377
In: 0.000 0.000 0.500
Ag: 0.333 0.667 0.245
Ag: 0.667 0.333 0.755
I: 0.164 0.328 0.285
I: 0.164 0.836 0.285
I: 0.328 0.164 0.715
I: 0.672 0.836 0.285
I: 0.836 0.164 0.715
I: 0.836 0.672 0.715

Output
DOS at the Fermi energy ... 0.0000 states/eV per atom
ΔE_f (raw) ... -0.867 eV/atom
Crystal system ... trigonal
Total DFT energy (no corrections) ... -30.71 eV/cell

(4)
This record from Alexandria describes crystalline CaCdCl2 at its relaxed geometry. The functional is GGA-PBE.

a = 3.950 Å, b = 3.950 Å, c = 9.019 Å
α = 90.00°, β = 90.00°, γ = 90.00°
Positions (direct):
Ca: 0.000 0.000 0.000
Cd: 0.500 0.500 0.470
Cl: 0.000 0.000 0.731
Cl: 0.500 0.500 0.053

Output
DOS at the Fermi energy ... 0.0968 states/eV per atom
ΔE_f (raw) ... -1.333 eV/atom
Polymorph energy (0 for the lowest one) ... 0.305 eV/atom
Crystal system ... tetragonal
Total DFT energy (no corrections) ... -11.94 eV/cell

(5)
This record from Alexandria describes crystalline Ba2GaGe3 at its relaxed geometry. The functional is GGA-PBE.

a = 6.949 Å, b = 6.949 Å, c = 9.209 Å
α = 90.00°, β = 90.00°, γ = 120.00°
Positions (direct):
Ba: 0.000 0.000 0.000
Ba: 0.000 0.000 0.500
Ba: 0.333 0.667 0.155
Ba: 0.667 0.333 0.845
Ga: 0.333 0.667 0.528
Ga: 0.667 0.333 0.472
Ge: 0.211 0.423 0.780
Ge: 0.211 0.789 0.780
Ge: 0.423 0.211 0.220
Ge: 0.577 0.789 0.780
Ge: 0.789 0.211 0.220
Ge: 0.789 0.577 0.220

Output
DOS at the Fermi energy ... 0.8885 states/eV per atom
Polymorph energy (0 for the lowest one) ... 0.130 eV/atom
Crystal system ... trigonal
Total DFT energy (no corrections) ... -45.84 eV/cell
ΔE_f ... -0.366 eV/atom

(6)
This record from Alexandria describes crystalline CaTlCl2 at its relaxed geometry. The functional is GGA-PBE.

a = 5.517 Å, b = 5.517 Å, c = 5.356 Å
α = 113.76°, β = 113.76°, γ = 99.35°
Positions (direct):
Ca: 0.000 0.000 0.000
Tl: 0.500 0.500 0.000
Cl: 0.000 0.500 0.500
Cl: 0.500 0.000 0.500

Output
DOS at the Fermi energy ... 0.5733 states/eV per atom
ΔE_f (raw) ... -1.214 eV/atom
Polymorph energy (0 for the lowest one) ... 0.404 eV/atom
Crystal system ... monoclinic
Total DFT energy (no corrections) ... -12.92 eV/cell

(7)
This record from Alexandria describes crystalline Zr4MnBr at its relaxed geometry. The functional is GGA-PBE.

a = 5.836 Å, b = 5.836 Å, c = 5.836 Å
α = 60.00°, β = 60.00°, γ = 60.00°
Positions (direct):
Zr: 0.378 0.378 0.378
Zr: 0.378 0.378 0.866
Zr: 0.378 0.866 0.378
Zr: 0.866 0.378 0.378
Mn: 0.750 0.750 0.750
Br: 0.000 0.000 0.000

Output
DOS at the Fermi energy ... 1.5274 states/eV per atom
ΔE_f (raw) ... 0.623 eV/atom
Crystal system ... cubic
Total DFT energy (no corrections) ... -41.30 eV/cell

(8)
This record from Alexandria describes crystalline Dy3Ho2Cd3 at its relaxed geometry. The functional is GGA-PBE.

a = 11.536 Å, b = 11.536 Å, c = 11.536 Å
α = 161.45°, β = 153.25°, γ = 32.76°
Positions (direct):
Dy: 0.000 0.000 0.000
Dy: 0.377 0.877 0.500
Dy: 0.623 0.123 0.500
Ho: 0.234 0.234 0.000
Ho: 0.766 0.766 0.000
Cd: 0.117 0.617 0.500
Cd: 0.500 0.500 0.000
Cd: 0.883 0.383 0.500

Output
DOS at the Fermi energy ... 1.1933 states/eV per atom
Crystal system ... orthorhombic
Total DFT energy (no corrections) ... -27.60 eV/cell
ΔE_f ... -0.236 eV/atom